Material: Hf7Co2Ir2
Method: DFT, PBE
State: optimized geometry

Results
DOS(E_F): 17.7 states/eV/cell
Formation energy: -5.72 kcal/mol of atoms
Crystal system: orthorhombic
M_tot: 0.0000 μB/atom

Cell lengths 7.268, 9.635, 6.283 Å; angles 90.00, 90.00, 90.00 degrees
Space group Cmmm (No. 65)
Unique sites:
Hf  0.000  0.000  0.000
Hf  0.000  0.500  0.253
Hf  0.250  0.250  0.257
Co  0.000  0.289  0.000
Ir  0.193  0.000  0.500

---

Material: RuPb2C
Method: DFT, PBE
State: optimized geometry

Results
DOS(E_F): 7.1 states/eV/cell
Formation energy: 32.63 kcal/mol of atoms
Crystal system: tetragonal
M_tot: 0.0000 μB/atom

Cell lengths 6.835, 6.835, 6.625 Å; angles 90.00, 90.00, 90.00 degrees
Space group I-42d (No. 122)
Unique sites:
Ru  0.000  0.000  0.000
Pb  0.201  0.250  0.625
C  0.000  0.000  0.500

---

Material: MgAu
Method: DFT, PBE
State: optimized geometry

Results
DOS(E_F): 6.0 states/eV/cell
Formation energy: 0.65 kcal/mol of atoms
Crystal system: cubic
M_tot: 0.0000 μB/atom

Cell lengths 7.499, 7.499, 7.499 Å; angles 90.00, 90.00, 90.00 degrees
Space group Pm-3n (No. 223)
Unique sites:
Mg  0.000  0.250  0.500
Au  0.000  0.500  0.250

---

Material: U2Pa2S7
Method: DFT, PBE
State: optimized geometry

Results
DOS(E_F): 34.3 states/eV/cell
Energy relative to the elements, uncorrected: -1.5478 eV per atom
Crystal system: orthorhombic
Relative energy among the computed polymorphs: 0.00 eV per formula unit
M_tot: 0.6446 μB/atom

Cell lengths 3.874, 13.982, 8.510 Å; angles 90.00, 90.00, 90.00 degrees
Space group Imm2 (No. 44)
Unique sites:
U  0.000  0.000  0.000
U  0.000  0.500  0.058
Pa  0.000  0.260  0.815
S  0.000  0.139  0.501
S  0.000  0.183  0.114
S  0.000  0.388  0.334
S  0.000  0.500  0.735

---

Material: Li3Cu4Pt2
Method: DFT, PBE
State: optimized geometry

Results
DOS(E_F): 5.6 states/eV/cell
Formation energy: -6.26 kcal/mol of atoms
Crystal system: monoclinic
M_tot: 0.0000 μB/atom

Cell lengths 8.128, 3.841, 7.814 Å; angles 90.00, 104.45, 90.00 degrees
Space group C2/m (No. 12)
Unique sites:
Li  0.000  0.000  0.000
Li  0.172  0.500  0.561
Cu  0.010  0.000  0.673
Cu  0.170  0.500  0.888
Pt  0.161  0.500  0.224

---

Material: SbSI
Method: DFT, PBE
State: optimized geometry

Results
DOS(E_F): 0.0 states/eV/cell
Energy relative to the elements, uncorrected: -0.3075 eV per atom
Crystal system: orthorhombic
M_tot: 0.0000 μB/atom

Cell lengths 9.019, 4.108, 10.968 Å; angles 90.00, 90.00, 90.00 degrees
Space group Pnma (No. 62)
Unique sites:
Sb  0.097  0.250  0.125
S  0.155  0.750  0.969
I  0.034  0.250  0.689